1.
Density functional theory data (PBE-GGA) for crystalline YAs2Pb at its relaxed geometry.

The structure in extended XYZ format:
```
4
Lattice="-3.999 -0.997 -0.384 0.736 -1.491 -3.802 1.883 -7.019 -1.393" Properties=species:S:1:pos:R:3 pbc="T T T"
As 1.743 -6.345 -1.683
As -1.220 -3.222 -1.234
Pb 1.200 -3.724 -2.834
Y 0.091 -7.489 -3.818
```

Magnetization   0.000 μB/cell
DOS at the Fermi energy   2.5 states/eV/cell
Total DFT energy (no corrections)   -5.524 eV/atom

***

2.
Density functional theory data (PBE-GGA) for crystalline ErTm2PaAs4 at its relaxed geometry.

The structure in extended XYZ format:
```
8
Lattice="-3.742 -1.280 -1.000 2.083 -0.883 -6.667 2.465 -6.546 -0.846" Properties=species:S:1:pos:R:3 pbc="T T T"
Er 2.274 -3.714 -3.757
As 0.502 -5.781 -2.802
As -2.606 -3.141 -2.867
As 0.304 -2.928 -5.711
As 3.413 -5.567 -5.646
Tm -0.638 -3.913 -0.923
Tm 2.465 -6.546 -0.846
Pa -0.830 -1.081 -3.833
```

Magnetization   0.249 μB/cell
DOS at the Fermi energy   5.4 states/eV/cell
Total DFT energy (no corrections)   -6.592 eV/atom

***

3.
Density functional theory data (PBE-GGA) for crystalline Be2Ga2CuAu5 at its relaxed geometry.

The structure in extended XYZ format:
```
20
Lattice="-2.083 0.210 -2.198 -7.501 -0.958 7.017 -0.207 10.247 1.177" Properties=species:S:1:pos:R:3 pbc="T T T"
Ga -5.012 1.041 4.850
Ga -2.696 8.247 3.344
Ga -1.298 3.289 1.544
Ga -6.411 5.999 6.650
Au -3.530 6.013 1.825
Au -2.006 8.355 0.605
Au -5.729 6.543 3.960
Au -4.062 2.956 2.036
Au -2.451 1.015 0.324
Au -7.785 1.144 5.392
Au -6.261 3.486 4.171
Au -4.792 -0.374 2.410
Au -1.145 5.228 -0.510
Au -7.340 8.484 5.672
Be -1.154 6.389 1.705
Be -6.554 2.900 6.489
Be -4.952 8.241 5.481
Be -2.757 1.048 2.713
Cu 0.000 0.000 0.000
Cu -3.854 4.644 4.097
```

Magnetization   0.000 μB/cell
DOS at the Fermi energy   6.5 states/eV/cell
Total DFT energy (no corrections)   -3.444 eV/atom

***

4.
Density functional theory data (PBE-GGA) for crystalline LiZnRh2 at its relaxed geometry.

The structure in extended XYZ format:
```
4
Lattice="4.470 0.000 -0.008 3.629 2.611 -0.008 0.827 0.267 4.671" Properties=species:S:1:pos:R:3 pbc="T T T"
Rh 4.503 1.451 2.355
Rh 8.887 2.865 4.630
Zn 2.232 0.719 1.164
Li 6.695 2.158 3.492
```

Magnetization   0.000 μB/cell
DOS at the Fermi energy   2.9 states/eV/cell
Total DFT energy (no corrections)   -4.734 eV/atom